An optimized crystal structure of K2MnHgF6. Source: Alexandria via LeMat-Bulk, functional PBE with a Hubbard U.

Results
- calculated density (g/cm3) = 4.29
- raw total energy (eV per atom) = -4.4869
- spin magnetization (μB/f.u.) = 5.00

The structure in POSCAR format:
```
K2MnHgF6
1.0
6.1861 0.0000 0.0000
0.0000 6.3423 0.0000
0.0000 0.0000 8.8343
Mn F K Hg
2 12 4 2
Cartesian
3.0930 1.5106 4.4171 Mn
0.0000 4.8318 0.0000 Mn
0.0000 4.9010 6.7278 F
4.7144 0.0164 0.0000 F
3.0930 1.4414 6.5236 F
4.6334 2.9400 4.4171 F
0.0000 4.9010 2.1064 F
4.5648 6.3259 4.4171 F
4.6457 3.4024 0.0000 F
1.5527 2.9400 4.4171 F
1.5404 3.4024 0.0000 F
1.6213 6.3259 4.4171 F
1.4717 0.0164 0.0000 F
3.0930 1.4414 2.3107 F
0.0000 1.4258 6.5314 K
3.0930 4.9165 2.1142 K
3.0930 4.9165 6.7201 K
0.0000 1.4258 2.3029 K
0.0000 4.6511 4.4171 Hg
3.0930 1.6912 0.0000 Hg
```